(1)
Entry from Alexandria via LeMat-Bulk: TiReBr3 after structural relaxation (PBE).

a = 5.171 Å, b = 5.171 Å, c = 5.171 Å
α = 90.00°, β = 90.00°, γ = 90.00°
Each line ends with the local moment (μB).
Atoms (fractional coordinates):
1 Re 0.500 0.500 0.500  4.29
2 Br 0.000 0.500 0.000  0.08
3 Br 0.000 0.000 0.500  0.07
4 Br 0.500 0.000 0.000  0.04
5 Ti 0.000 0.000 0.000  0.19

Summary:
total energy: -4.4193 eV/atom
energy relative to the lowest polymorph listed for this composition: 0.000 eV/atom

=====

(2)
Entry from Alexandria via LeMat-Bulk: TiReBr2 after structural relaxation (PBE).

a = 4.558 Å, b = 4.558 Å, c = 4.558 Å
α = 60.00°, β = 60.00°, γ = 60.00°
Atoms (fractional coordinates):
1 Re 0.500 0.500 0.500
2 Br 0.250 0.250 0.250
3 Br 0.750 0.750 0.750
4 Ti 0.000 0.000 0.000

Summary:
total energy: -5.0388 eV/atom
energy relative to the lowest polymorph listed for this composition: 0.516 eV/atom

=====

(3)
Entry from Alexandria via LeMat-Bulk: Ti2ReBr after structural relaxation (PBE).

a = 4.552 Å, b = 4.552 Å, c = 4.552 Å
α = 60.00°, β = 60.00°, γ = 60.00°
Atoms (fractional coordinates):
1 Re 0.500 0.500 0.500
2 Br 0.000 0.000 0.000
3 Ti 0.250 0.250 0.250
4 Ti 0.750 0.750 0.750

Summary:
total energy: -7.0786 eV/atom
energy relative to the lowest polymorph listed for this composition: 0.000 eV/atom

=====

(4)
Entry from Alexandria via LeMat-Bulk: TiRe2Br after structural relaxation (PBE).

a = 3.707 Å, b = 3.707 Å, c = 10.642 Å
α = 79.97°, β = 79.97°, γ = 90.00°
Atoms (fractional coordinates):
1 Re 0.588 0.125 0.250
2 Re 0.162 0.625 0.250
3 Re 0.375 0.412 0.750
4 Re 0.875 0.838 0.750
5 Br 0.000 0.000 0.000
6 Br 0.750 0.250 0.500
7 Ti 0.500 0.500 0.000
8 Ti 0.250 0.750 0.500

Summary:
total energy: -7.8425 eV/atom
energy relative to the lowest polymorph listed for this composition: 0.000 eV/atom

=====

(5)
Entry from Alexandria via LeMat-Bulk: Ti2ReBr after structural relaxation (PBE).

a = 5.715 Å, b = 5.715 Å, c = 7.217 Å
α = 66.67°, β = 66.67°, γ = 90.00°
Atoms (fractional coordinates):
1 Re 0.000 0.000 0.000
2 Re 0.750 0.250 0.500
3 Br 0.500 0.500 0.000
4 Br 0.250 0.750 0.500
5 Ti 0.666 0.125 0.250
6 Ti 0.084 0.625 0.250
7 Ti 0.375 0.334 0.750
8 Ti 0.875 0.916 0.750

Summary:
total energy: -6.8137 eV/atom
energy relative to the lowest polymorph listed for this composition: 0.265 eV/atom

=====

(6)
Entry from Alexandria via LeMat-Bulk: TiRe2Br after structural relaxation (PBE).

a = 4.471 Å, b = 4.471 Å, c = 4.471 Å
α = 60.00°, β = 60.00°, γ = 60.00°
Atoms (fractional coordinates):
1 Re 0.250 0.250 0.250
2 Re 0.750 0.750 0.750
3 Br 0.500 0.500 0.500
4 Ti 0.000 0.000 0.000

Summary:
total energy: -7.6901 eV/atom
energy relative to the lowest polymorph listed for this composition: 0.152 eV/atom

=====

(7)
Entry from Alexandria via LeMat-Bulk: TiRe3Br after structural relaxation (PBE).

a = 4.648 Å, b = 4.648 Å, c = 4.648 Å
α = 90.00°, β = 90.00°, γ = 90.00°
Atoms (fractional coordinates):
1 Re 0.000 0.500 0.000
2 Re 0.000 0.000 0.500
3 Re 0.500 0.000 0.000
4 Br 0.500 0.500 0.500
5 Ti 0.000 0.000 0.000

Summary:
total energy: -6.9765 eV/atom
energy relative to the lowest polymorph listed for this composition: 0.391 eV/atom

=====

(8)
Entry from Alexandria via LeMat-Bulk: TlRe2Br after structural relaxation (PBE).

a = 2.898 Å, b = 4.187 Å, c = 6.513 Å
α = 90.00°, β = 90.00°, γ = 90.00°
Atoms (fractional coordinates):
1 Re 0.000 0.000 0.935
2 Re 0.000 0.000 0.565
3 Tl 0.500 0.500 0.250
4 Br 0.500 0.500 0.750

Summary:
total energy: -5.6665 eV/atom
energy relative to the lowest polymorph listed for this composition: 1.173 eV/atom

=====

(9)
Entry from Alexandria via LeMat-Bulk: TlRe2Br after structural relaxation (PBE).

a = 3.053 Å, b = 3.053 Å, c = 8.943 Å
α = 90.00°, β = 90.00°, γ = 90.00°
Atoms (fractional coordinates):
1 Re 0.000 0.000 0.036
2 Re 0.500 0.500 0.198
3 Tl 0.000 0.000 0.453
4 Br 0.500 0.500 0.813

Summary:
total energy: -6.7172 eV/atom
energy relative to the lowest polymorph listed for this composition: 0.122 eV/atom

=====

(10)
Entry from Alexandria via LeMat-Bulk: TlReBr6 after structural relaxation (PBE).

a = 7.170 Å, b = 7.170 Å, c = 7.719 Å
α = 62.33°, β = 62.33°, γ = 60.00°
Each line ends with the local moment (μB).
Atoms (fractional coordinates):
1 Tl 0.500 0.500 0.500  0.01
2 Re 0.000 0.000 0.000  1.49
3 Br 0.910 0.910 0.779  0.03
4 Br 0.401 0.910 0.779  0.03
5 Br 0.090 0.599 0.221  0.03
6 Br 0.599 0.090 0.221  0.03
7 Br 0.090 0.090 0.221  0.03
8 Br 0.910 0.401 0.779  0.03

Summary:
total energy: -3.4611 eV/atom
energy relative to the lowest polymorph listed for this composition: 0.063 eV/atom

=====

(11)
Entry from Alexandria via LeMat-Bulk: TlRe2Br after structural relaxation (PBE).

a = 7.376 Å, b = 7.376 Å, c = 5.950 Å
α = 51.70°, β = 51.70°, γ = 90.00°
Atoms (fractional coordinates):
1 Re 0.562 0.125 0.250
2 Re 0.188 0.625 0.250
3 Re 0.375 0.438 0.750
4 Re 0.875 0.812 0.750
5 Tl 0.000 0.000 0.000
6 Tl 0.750 0.250 0.500
7 Br 0.500 0.500 0.000
8 Br 0.250 0.750 0.500

Summary:
total energy: -5.3996 eV/atom
energy relative to the lowest polymorph listed for this composition: 1.440 eV/atom

=====

(12)
Entry from Alexandria via LeMat-Bulk: TlRe2Br after structural relaxation (PBE).

a = 3.238 Å, b = 3.238 Å, c = 6.676 Å
α = 90.00°, β = 90.00°, γ = 90.00°
Atoms (fractional coordinates):
1 Re 0.000 0.000 0.974
2 Re 0.000 0.000 0.526
3 Tl 0.500 0.500 0.250
4 Br 0.500 0.500 0.750

Summary:
total energy: -5.6365 eV/atom
energy relative to the lowest polymorph listed for this composition: 1.203 eV/atom

=====

(13)
Entry from Alexandria via LeMat-Bulk: TlRe2Br after structural relaxation (PBE).

a = 3.065 Å, b = 3.140 Å, c = 8.970 Å
α = 80.09°, β = 90.00°, γ = 90.00°
Atoms (fractional coordinates):
1 Re 0.000 0.790 0.043
2 Re 0.500 0.214 0.198
3 Tl 0.000 0.588 0.456
4 Br 0.500 0.908 0.803

Summary:
total energy: -6.8392 eV/atom
energy relative to the lowest polymorph listed for this composition: 0.000 eV/atom

=====

(14)
Entry from Alexandria via LeMat-Bulk: TlReBr6 after structural relaxation (PBE).

a = 7.161 Å, b = 7.161 Å, c = 11.205 Å
α = 89.88°, β = 89.88°, γ = 72.57°
Each line ends with the local moment (μB).
Atoms (fractional coordinates):
1 Tl 0.017 0.983 0.250  0.00
2 Tl 0.983 0.017 0.750  0.00
3 Re 0.000 0.500 0.500  1.53
4 Re 0.500 0.000 0.000  1.53
5 Br 0.275 0.590 0.405  0.02
6 Br 0.725 0.410 0.595  0.02
7 Br 0.410 0.725 0.095  0.02
8 Br 0.590 0.275 0.905  0.02
9 Br 0.867 0.463 0.299  0.03
10 Br 0.133 0.537 0.701  0.03
11 Br 0.537 0.133 0.201  0.03
12 Br 0.463 0.867 0.799  0.03
13 Br 0.146 0.201 0.998  0.03
14 Br 0.854 0.799 0.002  0.03
15 Br 0.799 0.854 0.502  0.03
16 Br 0.201 0.146 0.498  0.03

Summary:
total energy: -3.5238 eV/atom
energy relative to the lowest polymorph listed for this composition: 0.000 eV/atom

=====

(15)
Entry from Alexandria via LeMat-Bulk: TlRe2Br after structural relaxation (PBE).

a = 10.502 Å, b = 10.502 Å, c = 10.502 Å
α = 16.55°, β = 16.55°, γ = 16.55°
Atoms (fractional coordinates):
1 Re 0.995 0.995 0.995
2 Re 0.264 0.264 0.264
3 Tl 0.514 0.514 0.514
4 Br 0.727 0.727 0.727

Summary:
total energy: -6.5949 eV/atom
energy relative to the lowest polymorph listed for this composition: 0.244 eV/atom

=====

(16)
Entry from Alexandria via LeMat-Bulk: TlRe2Br after structural relaxation (PBE).

a = 4.951 Å, b = 4.951 Å, c = 4.951 Å
α = 128.10°, β = 128.10°, γ = 76.47°
Atoms (fractional coordinates):
1 Re 0.000 0.000 0.000
2 Re 0.250 0.750 0.500
3 Tl 0.500 0.500 0.000
4 Br 0.750 0.250 0.500

Summary:
total energy: -5.7256 eV/atom
energy relative to the lowest polymorph listed for this composition: 1.114 eV/atom

=====

(17)
Entry from Alexandria via LeMat-Bulk: TlRe2Br after structural relaxation (PBE).

a = 5.752 Å, b = 5.752 Å, c = 5.752 Å
α = 150.91°, β = 126.49°, γ = 62.06°
Atoms (fractional coordinates):
1 Re 0.012 0.012 0.000
2 Re 0.488 0.488 0.000
3 Tl 0.750 0.250 0.500
4 Br 0.250 0.750 0.500

Summary:
total energy: -5.9068 eV/atom
energy relative to the lowest polymorph listed for this composition: 0.932 eV/atom

=====

(18)
Entry from Alexandria via LeMat-Bulk: TlRe2Br after structural relaxation (PBE).

a = 9.096 Å, b = 9.096 Å, c = 9.096 Å
α = 19.14°, β = 19.14°, γ = 19.14°
Atoms (fractional coordinates):
1 Re 0.004 0.004 0.004
2 Re 0.496 0.496 0.496
3 Tl 0.250 0.250 0.250
4 Br 0.750 0.750 0.750

Summary:
total energy: -5.9478 eV/atom
energy relative to the lowest polymorph listed for this composition: 0.891 eV/atom

=====

(19)
Entry from Alexandria via LeMat-Bulk: TlReBr5 after structural relaxation (PBE).

a = 12.875 Å, b = 12.875 Å, c = 12.997 Å
α = 71.75°, β = 71.75°, γ = 140.00°
Each line ends with the local moment (μB).
Atoms (fractional coordinates):
1 Tl 0.977 0.523 0.250  0.00
2 Tl 0.023 0.477 0.750  0.00
3 Re 0.000 0.000 0.000  1.03
4 Re 0.500 0.500 0.500  1.03
5 Br 0.196 0.111 0.078  0.06
6 Br 0.570 0.180 0.290  0.01
7 Br 0.611 0.696 0.578  0.06
8 Br 0.666 0.834 0.250  0.06
9 Br 0.320 0.930 0.210  0.01
10 Br 0.680 0.070 0.790  0.01
11 Br 0.334 0.166 0.750  0.06
12 Br 0.389 0.304 0.422  0.06
13 Br 0.430 0.820 0.710  0.01
14 Br 0.804 0.889 0.922  0.06

Summary:
total energy: -3.5685 eV/atom

=====

(20)
Entry from Alexandria via LeMat-Bulk: TlRe2Br after structural relaxation (PBE).

a = 4.643 Å, b = 4.643 Å, c = 4.643 Å
α = 60.00°, β = 60.00°, γ = 60.00°
Atoms (fractional coordinates):
1 Re 0.250 0.250 0.250
2 Re 0.750 0.750 0.750
3 Tl 0.500 0.500 0.500
4 Br 0.000 0.000 0.000

Summary:
total energy: -5.5449 eV/atom
energy relative to the lowest polymorph listed for this composition: 1.294 eV/atom

=====

| no. | formation energy from raw total energies (eV/atom) |
| --- | --- |
| 1 | 0.65 |
| 2 | 0.88 |
| 3 | 0.40 |
| 4 | 0.77 |
| 5 | 0.66 |
| 6 | 0.93 |
| 7 | 2.41 |
| 8 | 1.57 |
| 9 | 0.52 |
| 10 | -0.35 |
| 11 | 1.83 |
| 12 | 1.60 |
| 13 | 0.39 |
| 14 | -0.42 |
| 15 | 0.64 |
| 16 | 1.51 |
| 17 | 1.33 |
| 18 | 1.29 |
| 19 | -0.26 |
| 20 | 1.69 |